Ce2NdEr | the Alexandria database | GGA-PBE | optimized geometry; total magnetic moment = 0.39 μB per atom; E above lowest polymorph = 0.0158 eV per atom; energy of formation = 117 meV/atom; calculated volume = 124 Å³ per cell
1.0
-0.603 2.924 -1.800
-2.147 -1.747 -2.119
-7.844 2.173 6.156
Nd Er Ce
1 1 2
Direct
0.500 0.500 0.500
0.500 0.500 0.000
0.000 0.000 0.755
0.000 0.000 0.245

CeNd6Er12 | the Alexandria database | GGA-PBE | optimized geometry; total magnetic moment = 0.02 μB per atom; energy of formation = 218 meV/atom; calculated volume = 632 Å³ per cell
1.0
-3.925 6.832 -3.696
1.824 -4.563 -7.183
-7.059 -4.363 2.620
Er Nd Ce
12 6 1
Direct
0.755 0.245 0.500
0.245 0.755 0.500
0.500 0.245 0.755
0.353 0.079 0.353
0.647 0.921 0.647
0.500 0.755 0.245
0.245 0.500 0.755
0.353 0.353 0.079
0.647 0.647 0.921
0.079 0.353 0.353
0.755 0.500 0.245
0.921 0.647 0.647
0.901 0.901 0.342
0.901 0.342 0.901
0.658 0.099 0.099
0.099 0.658 0.099
0.342 0.901 0.901
0.099 0.099 0.658
0.000 0.000 0.000

CeNd6Er10 | the Alexandria database | GGA-PBE | optimized geometry; total magnetic moment = 0.08 μB per atom; energy of formation = 145 meV/atom; calculated volume = 557 Å³ per cell
1.0
6.890 0.000 0.000
0.000 8.368 -4.831
0.000 0.000 9.662
Er Nd Ce
10 6 1
Direct
0.819 0.271 0.000
0.500 0.333 0.667
0.819 0.000 0.271
0.181 0.000 0.729
0.181 0.271 0.271
0.819 0.729 0.729
0.000 0.667 0.333
0.000 0.333 0.667
0.500 0.667 0.333
0.181 0.729 0.000
0.299 0.000 0.380
0.701 0.620 0.000
0.701 0.380 0.380
0.299 0.380 0.000
0.299 0.620 0.620
0.701 0.000 0.620
0.500 0.000 0.000

Number 1: Fermi-level density of states 2.657 states/eV per atom. Number 2: Fermi-level density of states 1.630 states/eV per atom. Number 3: Fermi-level density of states 1.673 states/eV per atom.